Material: Re2MoIr
Method: DFT, PBE
State: relaxed

Cell lengths 4.469, 2.775, 4.834 Å; angles 89.99, 90.00, 90.00 degrees
Sites, in units of the cell vectors:
Re (0.500, 0.375, 0.204)
Ir (0.000, 0.375, 0.546)
Re (0.000, 0.875, 0.043)
Mo (0.500, 0.875, 0.707)

Its space group is Pmm2, No. 25. The value obtained for the energy above the most stable polymorph in this dataset is 0 meV/atom. Its magnetization is 0.0 μB per cell. For the formation energy, the calculation gives -0.126 eV/atom.